[1]
! PrTlPt (PBE, relaxed); values from VASP
&SYSTEM
  ibrav = 0, nat = 12, ntyp = 3
/
ATOMIC_SPECIES
Pt 195.08 Pt.upf
Pr 140.91 Pr.upf
Tl 204.38 Tl.upf
CELL_PARAMETERS angstrom
5.724 0.000 0.000
0.000 7.757 0.000
0.000 0.000 7.757
ATOMIC_POSITIONS angstrom
Pt 0.000 3.878 6.176
Pt 2.862 1.581 3.878
Pt 2.862 6.176 3.878
Pt 0.000 3.878 1.581
Pr 0.000 5.775 3.878
Pr 2.862 3.878 5.775
Pr 2.862 3.878 1.982
Pr 0.000 1.982 3.878
Tl 0.000 6.231 0.000
Tl 2.862 0.000 6.231
Tl 2.862 0.000 1.526
Tl 0.000 1.526 0.000
! Total magnetic moment in μB/f.u.: 0.0
! Energy in eV per atom: -4.97
! Space-group type: P4_2/mmc, No. 131

=====

[2]
! Pr3TlPt8 (PBE, relaxed); values from VASP
&SYSTEM
  ibrav = 0, nat = 12, ntyp = 3
/
ATOMIC_SPECIES
Pr 140.91 Pr.upf
Tl 204.38 Tl.upf
Pt 195.08 Pt.upf
CELL_PARAMETERS angstrom
5.289 0.000 1.597
2.403 4.711 1.597
0.001 0.000 9.556
ATOMIC_POSITIONS angstrom
Pr 2.903 1.778 9.498
Pr 7.641 4.680 3.364
Pr 3.892 2.383 6.225
Tl 6.687 4.096 6.522
Pt 6.037 2.062 3.944
Pt 4.551 4.418 8.786
Pt 3.366 2.062 3.138
Pt 7.214 4.418 9.589
Pt 1.448 0.887 4.760
Pt 5.294 3.242 11.136
Pt 4.580 4.441 3.944
Pt 6.004 2.046 8.786
! Total magnetic moment in μB/f.u.: 0.0
! Energy in eV per atom: -6.32
! Space-group type: R3m, No. 160

=====

[3]
! Pr6Tl2Pt (PBE, relaxed); values from VASP
&SYSTEM
  ibrav = 0, nat = 9, ntyp = 3
/
ATOMIC_SPECIES
Pr 140.91 Pr.upf
Tl 204.38 Tl.upf
Pt 195.08 Pt.upf
CELL_PARAMETERS angstrom
-2.521 -0.476 -3.027
1.960 -8.821 -0.246
-6.781 2.980 5.180
ATOMIC_POSITIONS angstrom
Pr -0.083 -5.537 -1.661
Pr -3.185 -2.570 0.456
Pr -5.335 1.552 1.599
Pr 0.481 -2.165 -0.060
Pr -3.638 -4.407 3.724
Pr 0.297 -8.089 1.025
Tl -3.867 -0.953 3.371
Tl -0.954 -4.887 1.563
Pt -1.261 -0.238 -1.513
! Total magnetic moment in μB/f.u.: 0.0
! Energy in eV per atom: -4.83
! Space-group type: P-62m, No. 189

=====

[4]
! Pr6Tl3Pt (PBE, relaxed); values from VASP
&SYSTEM
  ibrav = 0, nat = 20, ntyp = 3
/
ATOMIC_SPECIES
Pr 140.91 Pr.upf
Tl 204.38 Tl.upf
Pt 195.08 Pt.upf
CELL_PARAMETERS angstrom
-1.323 -2.550 -4.644
8.567 -3.872 -0.314
-4.072 -9.527 6.392
ATOMIC_POSITIONS angstrom
Pr -3.072 -10.631 3.503
Pr -1.431 -7.509 1.320
Pr 2.478 -5.663 -0.807
Pr 0.694 -10.287 2.242
Pr 4.602 -8.441 0.114
Pr 6.244 -5.319 -2.068
Pr 1.246 -5.325 2.569
Pr 2.374 -1.970 0.406
Pr -3.019 -7.288 4.862
Pr 6.191 -8.662 -3.427
Pr 0.798 -13.980 1.029
Pr 1.925 -10.625 -1.135
Tl 3.572 -11.553 2.116
Tl 3.622 -3.211 -2.479
Tl -0.400 -4.397 -0.681
Tl 4.661 -4.787 1.301
Tl -2.036 -4.763 3.196
Tl -1.489 -11.162 0.134
Pt 1.586 -7.975 0.717
Pt 0.000 0.000 0.000
! Total magnetic moment in μB/f.u.: 0.0
! Energy in eV per atom: -4.59
! Space-group type: Pnnm, No. 58

=====

[5]
! Pr2TlPt (PBE, relaxed); values from VASP
&SYSTEM
  ibrav = 0, nat = 4, ntyp = 3
/
ATOMIC_SPECIES
Pr 140.91 Pr.upf
Tl 204.38 Tl.upf
Pt 195.08 Pt.upf
CELL_PARAMETERS angstrom
-2.449 -2.761 -1.851
1.545 -2.531 -2.873
1.544 -7.391 4.375
ATOMIC_POSITIONS angstrom
Pr 0.075 -2.910 -0.363
Pr 0.566 -9.773 0.014
Tl 0.320 -6.342 -0.175
Pt 0.000 0.000 0.000
! Total magnetic moment in μB/f.u.: 0.0
! Energy in eV per atom: -5.14
! Space-group type: R-3m, No. 166

=====

[6]
! PrTlPt (PBE, relaxed); values from VASP
&SYSTEM
  ibrav = 0, nat = 3, ntyp = 3
/
ATOMIC_SPECIES
Pr 140.91 Pr.upf
Tl 204.38 Tl.upf
Pt 195.08 Pt.upf
CELL_PARAMETERS angstrom
3.858 0.000 0.000
0.000 3.858 0.000
-1.929 -1.929 5.035
ATOMIC_POSITIONS angstrom
Pr 1.929 1.929 1.342
Tl 1.929 1.929 4.445
Pt 0.000 0.000 2.772
! Total magnetic moment in μB/f.u.: 0.0
! Energy in eV per atom: -4.94
! Space-group type: I4mm, No. 107

=====

Question: Look up the energy of the first one.
Answer: -4.97 eV per atom